Computed, not measured: a relaxed Eu2MnH4 crystal at the PBE level of DFT.

Cell: 3.538 3.538 7.660 Å, 76.65 76.65 90.00°
Atoms (fractional coordinates):
H 0.000 0.500 0.000
Eu 0.371 0.371 0.257
H 0.883 0.883 0.235
H 0.117 0.117 0.765
Eu 0.629 0.629 0.743
Mn 0.000 0.000 0.000
H 0.500 0.000 0.000

Calculated values
D(E_F) = 5.901 states/eV/cell
Total energy = -6.455 eV/atom
SG = I4/mmm, No. 139